No. 1
Below is an optimized crystal structure of La2NiHgC, with properties calculated at the PBE level. Values from VASP.

The structure in Quantum ESPRESSO input format:
```
&SYSTEM
  ibrav = 0, nat = 5, ntyp = 4
/
ATOMIC_SPECIES
La 138.91 La.upf
Ni 58.69 Ni.upf
Hg 200.59 Hg.upf
C 12.01 C.upf
ATOMIC_POSITIONS angstrom
La 0.000 2.731 0.000
La 2.731 0.000 0.000
Ni 0.000 0.000 1.859
Hg 2.731 2.731 1.859
C 0.000 0.000 0.000
CELL_PARAMETERS angstrom
5.462 0.000 0.000
0.000 5.462 0.000
0.000 0.000 3.717
```

Summary:
Final energy, eV per atom: -5.3420
Symmetry: No. 123
Energy of formation from the pure elements, eV/atom: -0.31
Total magnetic moment, μB per formula unit: 0.0
Theoretical density, Mg/m³: 8.22



No. 2
Below is an optimized crystal structure of Pr3GeS2, with properties calculated at the PBE level. Values from VASP.

The structure in Quantum ESPRESSO input format:
```
&SYSTEM
  ibrav = 0, nat = 6, ntyp = 3
/
ATOMIC_SPECIES
Pr 140.91 Pr.upf
Ge 72.64 Ge.upf
S 32.06 S.upf
ATOMIC_POSITIONS angstrom
Pr 0.000 0.000 0.000
Pr 0.000 0.000 4.163
Pr 0.000 0.000 8.378
Ge 0.000 2.961 0.000
S 2.110 0.000 2.072
S 0.000 2.961 4.198
CELL_PARAMETERS angstrom
-2.110 2.961 6.270
2.110 -2.961 6.270
2.110 2.961 -6.270
```

Summary:
Final energy, eV per atom: -6.2112
Symmetry: No. 71
Total magnetic moment, μB per formula unit: 0.0
Theoretical density, Mg/m³: 5.93



No. 3
Below is an optimized crystal structure of ThCoMo, with properties calculated at the PBE level. Values from VASP.

The structure in Quantum ESPRESSO input format:
```
&SYSTEM
  ibrav = 0, nat = 6, ntyp = 3
/
ATOMIC_SPECIES
Th 232.04 Th.upf
Co 58.93 Co.upf
Mo 95.94 Mo.upf
ATOMIC_POSITIONS angstrom
Th 1.757 7.254 2.635
Th 1.757 -7.254 0.878
Co 1.757 0.847 2.635
Co 1.757 -0.847 0.878
Mo 1.757 3.884 2.635
Mo 1.757 -3.884 0.878
CELL_PARAMETERS angstrom
1.757 -9.108 0.000
1.757 9.108 0.000
0.000 0.000 3.514
```

Summary:
Final energy, eV per atom: -8.4179
Symmetry: No. 63
Energy of formation from the pure elements, eV/atom: 0.03
Total magnetic moment, μB per formula unit: 0.0
Theoretical density, Mg/m³: 11.43



No. 4
Below is an optimized crystal structure of Rb2SeN, with properties calculated at the PBE level. Values from VASP.

The structure in Quantum ESPRESSO input format:
```
&SYSTEM
  ibrav = 0, nat = 4, ntyp = 3
/
ATOMIC_SPECIES
Rb 85.47 Rb.upf
Se 78.96 Se.upf
N 14.01 N.upf
ATOMIC_POSITIONS angstrom
Rb 2.012 2.012 2.012
Rb 6.036 6.036 6.036
Se 0.000 0.000 0.000
N 4.024 4.024 4.024
CELL_PARAMETERS angstrom
0.000 4.024 4.024
4.024 0.000 4.024
4.024 4.024 0.000
```

Summary:
Final energy, eV per atom: -3.0909
Symmetry: No. 225
Total magnetic moment, μB per formula unit: 3.0
Energy above the most stable polymorph in this dataset, meV per atom: 160
Theoretical density, Mg/m³: 3.36



No. 5
Below is an optimized crystal structure of Ce3Tc5C2, with properties calculated at the PBE level. Values from VASP.

The structure in Quantum ESPRESSO input format:
```
&SYSTEM
  ibrav = 0, nat = 20, ntyp = 3
/
ATOMIC_SPECIES
Ce 140.12 Ce.upf
Tc 98.00 Tc.upf
C 12.01 C.upf
ATOMIC_POSITIONS angstrom
Ce 6.067 1.855 0.000
Ce 0.000 0.000 1.551
Ce 1.985 4.615 0.000
Ce 2.097 1.855 3.102
Ce 0.000 0.000 4.653
Ce -1.985 4.615 3.102
Tc 4.082 -3.120 1.551
Tc 2.566 1.423 0.000
Tc 4.082 0.000 1.551
Tc 2.566 -1.423 3.102
Tc 4.082 3.120 1.551
Tc 0.000 3.349 1.551
Tc 1.516 7.893 0.000
Tc 0.000 6.470 1.551
Tc 1.516 5.047 3.102
Tc 0.000 9.590 1.551
C 0.612 2.063 0.000
C 4.695 4.407 0.000
C -0.612 2.063 3.102
C 3.470 4.407 3.102
CELL_PARAMETERS angstrom
-4.082 6.470 3.102
4.082 -6.470 3.102
4.082 6.470 -3.102
```

Summary:
Final energy, eV per atom: -8.7786
Symmetry: No. 72
Energy of formation from the pure elements, eV/atom: 0.03
Total magnetic moment, μB per formula unit: 0.0
Theoretical density, Mg/m³: 9.47



No. 6
Below is an optimized crystal structure of Nd3PbSeBr, with properties calculated at the PBE level. Values from VASP.

The structure in Quantum ESPRESSO input format:
```
&SYSTEM
  ibrav = 0, nat = 12, ntyp = 4
/
ATOMIC_SPECIES
Nd 144.24 Nd.upf
Pb 207.20 Pb.upf
Se 78.96 Se.upf
Br 79.90 Br.upf
ATOMIC_POSITIONS angstrom
Nd 1.107 1.096 1.092
Nd -0.300 1.096 4.919
Nd -0.426 3.289 8.357
Nd 5.068 1.096 1.675
Nd 4.942 3.289 5.114
Nd 3.535 3.289 8.940
Pb -2.688 1.096 7.510
Pb 7.330 3.289 2.523
Se 3.053 3.289 1.213
Se 1.589 1.096 8.819
Br 1.502 3.289 6.040
Br 3.140 1.096 3.992
CELL_PARAMETERS angstrom
8.348 0.000 0.000
0.000 4.386 0.000
-3.706 0.000 10.032
```

Summary:
Final energy, eV per atom: -5.0355
Symmetry: No. 11
Total magnetic moment, μB per formula unit: 0.5
Theoretical density, Mg/m³: 7.22